The following is a DFT calculation (PBE+U) of a geometry-optimized LiCoSeO4 structure.

Lattice parameters (Å, degrees): 5.819 5.819 5.819 120.91 111.99 96.42
Fractional positions:
Li1 0.000 0.000 0.000
Li2 0.500 0.000 0.500
Co1 0.500 0.000 0.000
Co2 0.500 0.500 0.500
Se1 0.113 0.363 0.750
Se2 0.887 0.637 0.250
O1 0.246 0.253 0.506
O2 0.246 0.740 0.994
O3 0.303 0.248 0.054
O4 0.306 0.752 0.554
O5 0.694 0.248 0.446
O6 0.697 0.752 0.946
O7 0.754 0.260 0.006
O8 0.754 0.747 0.494

E (eV per formula unit): -37.56
V (Å³ per cell): 144.84